Material: Ho4CN3
Method: DFT, PBE
State: optimized geometry

Summary:
DOS(E_F) in states/eV/atom: 0.557
Electronic total energy in eV/cell: -62.8
Space group: No. 221
Uncorrected formation energy in kJ/mol of atoms: -123.9

```
Ho4CN3
1.0
4.921 0.000 0.000
0.000 4.921 0.000
0.000 0.000 4.921
C Ho N
1 4 3
Direct
0.000 0.000 0.000 C
0.500 0.000 0.000 Ho
0.000 0.500 0.000 Ho
0.000 0.000 0.500 Ho
0.500 0.500 0.500 Ho
0.000 0.500 0.500 N
0.500 0.000 0.500 N
0.500 0.500 0.000 N
```



Material: Nd5NpIr4
Method: DFT, PBE
State: optimized geometry

Summary:
DOS(E_F) in states/eV/atom: 1.391
Electronic total energy in eV/cell: -77.1
Space group: No. 12
Formation energy in eV/f.u.: -4.827

```
Nd5NpIr4
1.0
-1.123 -4.314 -0.008
4.489 -1.178 5.655
-8.555 4.527 1.377
Nd Np Ir
5 1 4
Direct
0.836 0.730 0.672 Nd
0.827 0.216 0.655 Nd
0.173 0.784 0.345 Nd
0.500 0.500 0.000 Nd
0.164 0.270 0.328 Nd
0.500 0.000 0.000 Np
0.356 0.008 0.712 Ir
0.004 0.789 0.008 Ir
0.644 0.992 0.288 Ir
0.996 0.211 0.992 Ir
```



Material: RbAsOsO6
Method: DFT, PBE
State: optimized geometry

Summary:
Electronic total energy in eV/cell: -57.9
Space group: No. 149
Uncorrected formation energy in kJ/mol of atoms: -121.5

```
RbAsOsO6
1.0
5.198 0.000 0.000
2.599 4.502 0.000
0.000 0.000 6.272
Rb As Os O
1 1 1 6
Direct
0.000 0.000 0.000 Rb
0.333 0.333 0.500 As
0.667 0.667 0.500 Os
0.003 0.424 0.321 O
0.424 0.003 0.679 O
0.573 0.424 0.679 O
0.003 0.573 0.679 O
0.424 0.573 0.321 O
0.573 0.003 0.321 O
```



Material: InCoIr2
Method: DFT, PBE
State: optimized geometry

Summary:
DOS(E_F) in states/eV/atom: 1.340
Electronic total energy in eV/cell: -26.6
Space group: No. 166
Formation energy in eV/f.u.: 0.945

```
InCoIr2
1.0
8.720 -0.028 -0.016
8.257 2.806 -0.016
8.257 1.351 2.459
Co In Ir
1 1 2
Direct
0.250 0.250 0.250 Co
0.750 0.750 0.750 In
0.994 0.994 0.994 Ir
0.506 0.506 0.506 Ir
```



Material: TaAl2As
Method: DFT, PBE
State: optimized geometry

Summary:
DOS(E_F) in states/eV/atom: 0.446
Electronic total energy in eV/cell: -23.9
Space group: No. 123
Formation energy in eV/f.u.: 0.126

```
TaAl2As
1.0
-3.651 -2.953 0.245
0.578 -0.328 4.655
-1.901 2.383 0.404
As Al Ta
1 2 1
Direct
0.500 0.000 0.500 As
0.000 0.000 0.000 Al
0.500 0.500 0.000 Al
0.000 0.500 0.500 Ta
```



Material: Ce2HfSe5
Method: DFT, PBE
State: optimized geometry

Summary:
DOS(E_F) in states/eV/atom: 1.799
Electronic total energy in eV/cell: -102.7
Space group: No. 63
Uncorrected formation energy in kJ/mol of atoms: -146.1

```
Ce2HfSe5
1.0
-4.951 -2.246 1.323
5.621 -3.044 4.037
-1.720 9.361 9.455
Ce Hf Se
4 2 10
Direct
0.852 0.704 0.435 Ce
0.852 0.704 0.065 Ce
0.148 0.296 0.565 Ce
0.148 0.296 0.935 Ce
0.810 0.620 0.750 Hf
0.190 0.380 0.250 Hf
0.951 0.902 0.876 Se
0.951 0.902 0.624 Se
0.307 0.615 0.411 Se
0.307 0.615 0.089 Se
0.724 0.448 0.250 Se
0.276 0.552 0.750 Se
0.693 0.385 0.589 Se
0.693 0.385 0.911 Se
0.049 0.098 0.124 Se
0.049 0.098 0.376 Se
```



Material: Ge2SBr
Method: DFT, PBE
State: optimized geometry

Summary:
DOS(E_F) in states/eV/atom: 0.309
Electronic total energy in eV/cell: -14.4
Space group: No. 225
Uncorrected formation energy in kJ/mol of atoms: 16.4

```
Ge2SBr
1.0
0.000 3.460 3.460
3.460 0.000 3.460
3.460 3.460 0.000
Ge S Br
2 1 1
Direct
0.250 0.250 0.250 Ge
0.750 0.750 0.750 Ge
0.000 0.000 0.000 S
0.500 0.500 0.500 Br
```



Material: Li2ZnSe
Method: DFT, PBE
State: optimized geometry

Summary:
DOS(E_F) in states/eV/atom: 0.237
Electronic total energy in eV/cell: -10.9
Space group: No. 38
Uncorrected formation energy in kJ/mol of atoms: -56.6

```
Li2ZnSe
1.0
5.349 -0.010 0.000
3.999 3.552 0.000
-0.001 0.000 3.866
Li Se Zn
2 1 1
Direct
0.022 0.022 0.125 Li
0.726 0.726 0.625 Li
0.462 0.462 0.625 Se
0.291 0.291 0.125 Zn
```



Material: TlSb6S8
Method: DFT, PBE
State: optimized geometry

Summary:
DOS(E_F) in states/eV/atom: 0.329
Electronic total energy in eV/cell: -61.3
Space group: No. 148
Uncorrected formation energy in kJ/mol of atoms: -7.8

```
TlSb6S8
1.0
-6.348 0.742 4.444
-0.266 -6.957 3.481
3.152 1.624 6.930
Tl Sb S
1 6 8
Direct
0.000 0.000 0.000 Tl
0.624 0.372 0.790 Sb
0.372 0.790 0.624 Sb
0.790 0.624 0.372 Sb
0.376 0.628 0.210 Sb
0.628 0.210 0.376 Sb
0.210 0.376 0.628 Sb
0.694 0.694 0.694 S
0.306 0.306 0.306 S
0.619 0.912 0.245 S
0.912 0.245 0.619 S
0.245 0.619 0.912 S
0.381 0.088 0.755 S
0.088 0.755 0.381 S
0.755 0.381 0.088 S
```



Material: Y2BeSi
Method: DFT, PBE
State: optimized geometry

Summary:
DOS(E_F) in states/eV/atom: 1.453
Electronic total energy in eV/cell: -20.3
Space group: No. 216
Uncorrected formation energy in kJ/mol of atoms: 43.2

```
Y2BeSi
1.0
4.890 0.000 0.000
2.445 4.235 0.000
2.445 1.412 3.993
Y Be Si
2 1 1
Direct
0.000 0.000 0.000 Y
0.250 0.250 0.250 Y
0.500 0.500 0.500 Be
0.750 0.750 0.750 Si
```



> Which of these has the highest electronic total energy?

Li2ZnSe



> Which of these has the lowest electronic total energy?

Ce2HfSe5